# Na2CdI (GGA-PBE, relaxed)
data_Na2CdI
_cell_length_a 4.031
_cell_length_b 4.031
_cell_length_c 7.494
_cell_angle_alpha 90.00
_cell_angle_beta 90.00
_cell_angle_gamma 90.00
_space_group_name_H-M_alt 'P 4/m m m'
_space_group_IT_number 123
_space_group_name_Hall '-P 4 2'
loop_
_atom_site_label
_atom_site_fract_x
_atom_site_fract_y
_atom_site_fract_z
Na1 0.000 0.000 0.245
Cd1 0.500 0.500 0.000
I1 0.500 0.500 0.500
# ΔE to the lowest computed polymorph ... 0 meV per atom
# Formation energy without anion corrections ... -0.528 eV per atom

# CaSc2BiH (GGA-PBE, relaxed)
data_CaSc2BiH
_cell_length_a 4.444
_cell_length_b 4.444
_cell_length_c 5.626
_cell_angle_alpha 90.00
_cell_angle_beta 90.00
_cell_angle_gamma 90.00
_space_group_name_H-M_alt 'P 4/m m m'
_space_group_IT_number 123
_space_group_name_Hall '-P 4 2'
loop_
_atom_site_label
_atom_site_fract_x
_atom_site_fract_y
_atom_site_fract_z
Ca1 0.000 0.000 0.000
Sc1 0.000 0.500 0.500
Bi1 0.500 0.500 0.000
H1 0.500 0.500 0.500
# ΔE to the lowest computed polymorph ... 56 meV per atom

# HoTmIn (GGA-PBE, relaxed)
data_HoTmIn
_cell_length_a 4.571
_cell_length_b 4.571
_cell_length_c 8.271
_cell_angle_alpha 90.00
_cell_angle_beta 90.00
_cell_angle_gamma 90.00
_space_group_name_H-M_alt 'P 4/n m m'
_space_group_IT_number 129
loop_
_space_group_symop_operation_xyz
'x,y,z'
'-x,-y,-z'
'-y+1/2,x,z'
'y+1/2,-x,-z'
'-x+1/2,-y+1/2,z'
'x+1/2,y+1/2,-z'
'y,-x+1/2,z'
'-y,x+1/2,-z'
'x+1/2,-y,-z'
'-x+1/2,y,z'
'-y,-x,-z'
'y,x,z'
'-x,y+1/2,-z'
'x,-y+1/2,z'
'y+1/2,x+1/2,-z'
'-y+1/2,-x+1/2,z'
loop_
_atom_site_label
_atom_site_fract_x
_atom_site_fract_y
_atom_site_fract_z
Ho1 0.250 0.750 0.000
Tm1 0.250 0.250 0.352
In1 0.250 0.250 0.727
# ΔE to the lowest computed polymorph ... 73 meV per atom
# Formation energy from the elements ... -0.240 eV per atom

# CaIrOs2 (GGA-PBE, relaxed)
data_CaIrOs2
_cell_length_a 6.391
_cell_length_b 6.391
_cell_length_c 6.391
_cell_angle_alpha 90.00
_cell_angle_beta 90.00
_cell_angle_gamma 90.00
_space_group_name_H-M_alt 'F m -3 m'
_space_group_IT_number 225
_space_group_name_Hall '-F 4 2 3'
loop_
_atom_site_label
_atom_site_fract_x
_atom_site_fract_y
_atom_site_fract_z
Ca1 0.000 0.000 0.000
Ir1 0.000 0.000 0.500
Os1 0.250 0.250 0.250
# ΔE to the lowest computed polymorph ... 601 meV per atom
# Formation energy from the elements ... 0.820 eV per atom

# Dy6Ho2Tm3 (GGA-PBE, relaxed)
data_Dy6Ho2Tm3
_cell_length_a 4.676
_cell_length_b 4.676
_cell_length_c 32.891
_cell_angle_alpha 90.00
_cell_angle_beta 90.00
_cell_angle_gamma 90.00
_space_group_name_H-M_alt 'I 4/m m m'
_space_group_IT_number 139
_space_group_name_Hall '-I 4 2'
loop_
_atom_site_label
_atom_site_fract_x
_atom_site_fract_y
_atom_site_fract_z
Dy1 0.000 0.000 0.197
Dy2 0.000 0.500 0.121
Ho1 0.000 0.000 0.046
Tm1 0.000 0.000 0.301
Tm2 0.000 0.000 0.500
# ΔE to the lowest computed polymorph ... 277 meV per atom
# Formation energy from the elements ... 0.298 eV per atom

# Tm2SnRh2 (GGA-PBE, relaxed)
data_Tm2SnRh2
_cell_length_a 4.396
_cell_length_b 5.827
_cell_length_c 8.154
_cell_angle_alpha 90.00
_cell_angle_beta 90.00
_cell_angle_gamma 90.00
_space_group_name_H-M_alt 'I m m m'
_space_group_IT_number 71
_space_group_name_Hall '-I 2 2'
loop_
_atom_site_label
_atom_site_fract_x
_atom_site_fract_y
_atom_site_fract_z
Tm1 0.000 0.000 0.204
Sn1 0.000 0.500 0.000
Rh1 0.000 0.272 0.500
# Formation energy from the elements ... -0.875 eV per atom

Number 1: electronic total energy -1.80 eV per atom. Number 2: electronic total energy -4.66 eV per atom. Number 3: electronic total energy -4.17 eV per atom. Number 4: electronic total energy -7.51 eV per atom. Number 5: electronic total energy -4.26 eV per atom. Number 6: electronic total energy -6.40 eV per atom.